Computed, not measured: a geometry-optimized Na3Sn4Pb2 structure at the PBE-GGA level of DFT.

**Calculated formation energy**: -0.0889 eV per atom
**DOS(E_F)**: 6.436 states/eV/cell
**Total magnetic moment**: 0.00 μB/cell

Cell: 14.5225 3.5839 10.4458 Å, 90.00 106.54 90.00°
Space group C2/m (No. 12)
Inequivalent atoms, fractional coordinates:
Na 0.0000 0.0000 0.0000 x2
Na 0.1481 0.5000 0.5558 x4
Sn 0.9999 0.0000 0.3072 x4
Sn 0.1602 0.5000 0.8938 x4
Pb 0.1692 0.5000 0.2217 x4

=====

Computed, not measured: a geometry-optimized KCuAg2 structure at the PBE-GGA level of DFT.

**Calculated formation energy**: 0.4221 eV per atom
**DOS(E_F)**: 2.454 states/eV/cell
**Total magnetic moment**: 0.00 μB/cell

Cell: 4.2733 4.2733 9.3929 Å, 90.00 90.00 90.00°
Space group I4/mmm (No. 139)
Inequivalent atoms, fractional coordinates:
K 0.0000 0.0000 0.0000 x2
Cu 0.0000 0.0000 0.5000 x2
Ag 0.0000 0.5000 0.2500 x4

=====

Computed, not measured: a geometry-optimized TlBi2Ir2 structure at the PBE-GGA level of DFT.

**Calculated formation energy**: 0.3653 eV per atom
**DOS(E_F)**: 7.927 states/eV/cell
**Total magnetic moment**: 0.00 μB/cell

Cell: 8.2558 8.2558 3.3043 Å, 90.00 90.00 90.00°
Space group P4/mbm (No. 127)
Inequivalent atoms, fractional coordinates:
Tl 0.0000 0.0000 0.0000 x2
Bi 0.1528 0.3472 0.5000 x4
Ir 0.1338 0.6338 0.0000 x4